[1]
# Sc4InGaRh2

An optimized crystal structure of Sc4InGaRh2 (PBE, Alexandria via LeMat-Bulk).

```
Sc4InGaRh2
1.0
4.7320 0.0000 0.0000
2.3660 4.0980 0.0000
2.3660 1.3660 7.7422
Ga Rh In Sc
1 2 1 4
direct
0.5000 0.5000 0.5000
0.2510 0.2510 0.2471
0.7490 0.7490 0.7529
0.0000 0.0000 0.0000
0.8717 0.8717 0.3849
0.3788 0.3788 0.8635
0.6212 0.6212 0.1365
0.1283 0.1283 0.6151
```

Calculated values
- V (Å³ per atom) = 18.77
- space-group type = R-3m, No. 166
- energy of formation from the pure elements (eV per atom) = -0.6984



[2]
# K2MgSe

An optimized crystal structure of K2MgSe (PBE, Alexandria via LeMat-Bulk).

```
K2MgSe
1.0
-2.6114 0.0347 -2.8141
-2.2270 -2.3801 2.0288
-4.5779 7.9884 4.3466
Se Mg K
1 1 2
direct
0.5000 0.5000 0.6765
0.0000 0.0000 0.5888
0.0000 0.0000 0.9158
0.5000 0.5000 0.3189
```

Calculated values
- energy relative to the elements, uncorrected (kJ per mole of atoms) = -44.9
- V (Å³ per atom) = 37.52
- space-group type = Cmm2, No. 35
- relative energy among the computed polymorphs (eV per formula unit) = 0.64



[3]
# Tm4Te2CSe

An optimized crystal structure of Tm4Te2CSe (PBE, Alexandria via LeMat-Bulk).

```
Tm4Te2CSe
1.0
3.9317 0.0000 0.0000
0.0000 7.2403 -0.2645
0.0000 2.4305 6.5513
Te C Tm Se
2 1 4 1
direct
0.5000 0.0000 0.5000
0.0000 0.0000 0.0000
0.0000 0.5000 0.5000
0.0000 0.2994 0.2733
0.5000 0.3068 0.7024
0.5000 0.6932 0.2976
0.0000 0.7006 0.7267
0.5000 0.5000 0.0000
```

Calculated values
- energy relative to the elements, uncorrected (kJ per mole of atoms) = -115.7
- V (Å³ per atom) = 23.63
- space-group type = P2/m, No. 10



[4]
# PuCdO5

An optimized crystal structure of PuCdO5 (PBE, Alexandria via LeMat-Bulk).

```
PuCdO5
1.0
6.4165 0.0000 0.0000
-3.2083 4.2676 -1.9207
0.0000 -0.4782 8.3086
O Pu Cd
10 2 2
direct
0.7506 0.5516 0.3774
0.1099 0.0000 0.2500
0.7335 0.0377 0.4505
0.2494 0.4484 0.6226
0.2665 0.9623 0.5495
0.8010 0.5516 0.8774
0.8901 0.0000 0.7500
0.1990 0.4484 0.1226
0.6958 0.9623 0.0495
0.3042 0.0377 0.9505
0.0000 0.0000 0.5000
0.0000 0.0000 0.0000
0.4582 0.0000 0.2500
0.5418 0.0000 0.7500
```

Calculated values
- energy relative to the elements, uncorrected (kJ per mole of atoms) = -159.5
- V (Å³ per atom) = 15.83
- space-group type = C2/c, No. 15



[5]
# CsLiTlSe

An optimized crystal structure of CsLiTlSe (PBE, Alexandria via LeMat-Bulk).

```
CsLiTlSe
1.0
-2.4411 3.7140 -0.7249
-3.7841 -2.3979 0.4568
-0.0298 2.7651 14.2675
Tl Cs Li Se
2 2 2 2
direct
0.2500 0.7500 0.5000
0.7500 0.2500 0.5000
0.7500 0.7500 0.2068
0.2500 0.2500 0.7932
0.7500 0.2500 0.0000
0.2500 0.7500 0.0000
0.7500 0.7500 0.9057
0.2500 0.2500 0.0943
```

Calculated values
- energy relative to the elements, uncorrected (kJ per mole of atoms) = -75.1
- V (Å³ per atom) = 36.84
- space-group type = P4/nmm, No. 129



[6]
# ReSiTcRu

An optimized crystal structure of ReSiTcRu (PBE, Alexandria via LeMat-Bulk).

```
ReSiTcRu
1.0
2.9236 0.0000 0.0000
0.0000 4.3512 0.0000
0.0000 0.0000 8.7299
Tc Re Si Ru
2 2 2 2
direct
0.5000 0.0000 0.1987
0.0000 0.5000 0.6987
0.5000 0.0000 0.6540
0.0000 0.5000 0.1540
0.5000 0.5000 0.9239
0.0000 0.0000 0.4239
0.0000 0.0000 0.9234
0.5000 0.5000 0.4234
```

Calculated values
- energy relative to the elements, uncorrected (kJ per mole of atoms) = -18.0
- V (Å³ per atom) = 13.88
- space-group type = Imm2, No. 44



[7]
# MgCoCu2

An optimized crystal structure of MgCoCu2 (PBE, Alexandria via LeMat-Bulk).

```
MgCoCu2
1.0
-7.6621 3.0890 2.4042
-7.3888 1.1637 4.2523
-6.2890 3.5770 4.6566
Co Cu Mg
1 2 1
direct
0.7463 0.7463 0.7463
0.0008 0.0008 0.0008
0.2538 0.2538 0.2538
0.4991 0.4991 0.4991
```

Calculated values
- V (Å³ per atom) = 13.19
- space-group type = R3m, No. 160
- energy of formation from the pure elements (eV per atom) = 0.1937



[8]
# CaTa2Co

An optimized crystal structure of CaTa2Co (PBE, Alexandria via LeMat-Bulk).

```
CaTa2Co
1.0
5.1827 -0.0165 0.0603
4.2436 2.9754 0.0603
1.6325 0.5124 5.4030
Ta Co Ca
2 1 1
direct
0.7270 0.7270 0.8473
0.9752 0.9752 0.0252
0.2669 0.2669 0.1411
0.5309 0.5309 0.4863
```

Calculated values
- V (Å³ per atom) = 20.84
- space-group type = Cm, No. 8
- relative energy among the computed polymorphs (eV per formula unit) = 1.02
- energy of formation from the pure elements (eV per atom) = 0.4718



[9]
# ErSc3Pb

An optimized crystal structure of ErSc3Pb (PBE, Alexandria via LeMat-Bulk).

```
ErSc3Pb
1.0
6.5820 0.0000 0.0000
0.0000 8.5710 0.0000
0.0000 0.0000 9.6061
Sc Pb Er
12 4 4
direct
0.2367 0.0381 0.7500
0.3974 0.3364 0.9631
0.7633 0.9619 0.2500
0.8974 0.1636 0.5369
0.2633 0.5381 0.2500
0.7367 0.4619 0.7500
0.6026 0.6636 0.0369
0.3974 0.3364 0.5369
0.6026 0.6636 0.4631
0.1026 0.8364 0.4631
0.1026 0.8364 0.0369
0.8974 0.1636 0.9631
0.0000 0.5000 0.5000
0.5000 0.0000 0.5000
0.0000 0.5000 0.0000
0.5000 0.0000 0.0000
0.2050 0.1399 0.2500
0.2950 0.6399 0.7500
0.7050 0.3601 0.2500
0.7950 0.8601 0.7500
```

Calculated values
- V (Å³ per atom) = 27.10
- space-group type = Pnma, No. 62
- energy of formation from the pure elements (eV per atom) = -0.0848



[10]
# RbLiMo2Ir

An optimized crystal structure of RbLiMo2Ir (PBE, Alexandria via LeMat-Bulk).

```
RbLiMo2Ir
1.0
-3.7909 -2.3987 1.3637
-0.8521 -1.0821 -4.2721
2.6117 -3.8669 0.4585
Mo Rb Ir Li
2 1 1 1
direct
0.0000 0.0000 0.5000
0.5000 0.0000 0.0000
0.5000 0.5000 0.5000
0.0000 0.5000 0.0000
0.0000 0.0000 0.0000
```

Calculated values
- V (Å³ per atom) = 19.74
- space-group type = P4/mmm, No. 123
- energy of formation from the pure elements (eV per atom) = 1.9157



[11]
# TbSc4Rh5

An optimized crystal structure of TbSc4Rh5 (PBE, Alexandria via LeMat-Bulk).

```
TbSc4Rh5
1.0
-2.5506 -0.5737 -1.8872
0.1016 -3.1190 0.8109
-10.2865 3.0391 12.9787
Sc Tb Rh
4 1 5
direct
0.0000 0.0000 0.5974
0.0000 0.0000 0.4026
0.0000 0.0000 0.2074
0.0000 0.0000 0.7926
0.0000 0.0000 0.0000
0.5000 0.5000 0.6939
0.5000 0.5000 0.8868
0.5000 0.5000 0.3061
0.5000 0.5000 0.5000
0.5000 0.5000 0.1132
```

Calculated values
- V (Å³ per atom) = 17.50
- space-group type = P4/mmm, No. 123
- energy of formation from the pure elements (eV per atom) = -0.9674



[12]
# Tb5Cu2Te

An optimized crystal structure of Tb5Cu2Te (PBE, Alexandria via LeMat-Bulk).

```
Tb5Cu2Te
1.0
8.0041 0.0000 0.0000
0.0000 8.0041 0.0000
-4.0020 -4.0020 6.3883
Te Tb Cu
2 10 4
direct
0.2500 0.2500 0.5000
0.7500 0.7500 0.5000
0.9874 0.4874 0.2804
0.5000 0.5000 0.0000
0.7069 0.2069 0.7196
0.4874 0.2931 0.2804
0.2069 0.0126 0.7196
0.5127 0.7069 0.7196
0.2931 0.7931 0.2804
0.7931 0.9874 0.2804
0.0000 0.0000 0.0000
0.0126 0.5127 0.7196
0.3671 0.8671 0.0000
0.6329 0.1329 0.0000
0.8671 0.6329 0.0000
0.1329 0.3671 0.0000
```

Calculated values
- energy relative to the elements, uncorrected (kJ per mole of atoms) = -43.5
- V (Å³ per atom) = 25.58
- space-group type = I4/mcm, No. 140



[13]
# Th3Tl2Os

An optimized crystal structure of Th3Tl2Os (PBE, Alexandria via LeMat-Bulk).

```
Th3Tl2Os
1.0
-0.8966 1.9844 -4.9841
-7.4354 1.2053 1.8175
6.1156 6.2053 4.3382
Tl Th Os
4 6 2
direct
0.6968 0.4462 0.3935
0.3032 0.0538 0.6065
0.3032 0.5538 0.6065
0.6968 0.9462 0.3935
0.5000 0.2500 0.0000
0.8745 0.8743 0.7491
0.8746 0.3743 0.7491
0.1254 0.6257 0.2509
0.5000 0.7500 0.0000
0.1255 0.1257 0.2509
0.0000 0.2500 0.0000
0.0000 0.7500 0.0000
```

Calculated values
- V (Å³ per atom) = 29.85
- space-group type = C2/m, No. 12
- energy of formation from the pure elements (eV per atom) = -0.1763



[14]
# NaTaN2F

An optimized crystal structure of NaTaN2F (PBE, Alexandria via LeMat-Bulk).

```
NaTaN2F
1.0
-2.0676 3.4752 0.0446
-1.3921 -0.7805 -3.7157
-3.2977 -1.9832 1.6521
N Ta Na F
2 1 1 1
direct
0.0000 0.5000 0.0000
0.5000 0.0000 0.0000
0.0000 0.0000 0.0000
0.5000 0.5000 0.5000
0.0000 0.0000 0.5000
```

Calculated values
- energy relative to the elements, uncorrected (kJ per mole of atoms) = -101.6
- V (Å³ per atom) = 13.70
- space-group type = P4/mmm, No. 123
- relative energy among the computed polymorphs (eV per formula unit) = 0.00